Below is an optimized crystal structure of InH2I6, with properties calculated at the PBE level.

Calculated values
- Symmetry: C2/c (15)
- V: 51.32 Å³/atom
- Raw total energy: -2.236 eV per atom
- Size of the total moment: 0.96 μB/f.u.

```
InH2I6
1.0
6.7556 9.3847 -0.0953
-6.7556 9.3847 -0.0953
0.0000 7.3543 7.2111
In H I
2 4 12
direct
0.1459 0.8541 0.7500
0.8541 0.1459 0.2500
0.5296 0.7380 0.6048
0.2620 0.4704 0.8952
0.4704 0.2620 0.3952
0.7380 0.5296 0.1048
0.6451 0.6261 0.2062
0.3739 0.3549 0.2938
0.3549 0.3739 0.7938
0.6261 0.6451 0.7062
0.8789 0.3917 0.9371
0.6083 0.1211 0.5629
0.1211 0.6083 0.0629
0.3917 0.8789 0.4371
0.8729 0.9090 0.2283
0.0910 0.1271 0.2717
0.1271 0.0910 0.7717
0.9090 0.8729 0.7283
```

=====

Below is an optimized crystal structure of YAl2Cu, with properties calculated at the PBE level.

Calculated values
- Symmetry: R3m (160)
- V: 19.30 Å³/atom
- ΔH_f (0 K): 0.0878 eV per atom
- Size of the total moment: 0.00 μB/f.u.

```
YAl2Cu
1.0
9.3197 -0.0271 -0.0159
8.8057 3.0524 -0.0159
8.8057 1.4697 2.6753
Y Al Cu
1 2 1
direct
0.7541 0.7541 0.7541
0.9915 0.9915 0.9915
0.2440 0.2440 0.2440
0.5104 0.5104 0.5104
```

=====

> Look up the size of the total moment of the second one.

0.00 μB/f.u.

=====

Copy entry 2 word for word.
Below is an optimized crystal structure of YAl2Cu, with properties calculated at the PBE level.

Calculated values
- Symmetry: R3m (160)
- V: 19.30 Å³/atom
- ΔH_f (0 K): 0.0878 eV per atom
- Size of the total moment: 0.00 μB/f.u.

```
YAl2Cu
1.0
9.3197 -0.0271 -0.0159
8.8057 3.0524 -0.0159
8.8057 1.4697 2.6753
Y Al Cu
1 2 1
direct
0.7541 0.7541 0.7541
0.9915 0.9915 0.9915
0.2440 0.2440 0.2440
0.5104 0.5104 0.5104
```

=====

> The lowest V belongs to which entry?

YAl2Cu

=====

> What is the V in the second record?

19.30 Å³/atom